No. 1
# MnBeI2O | Alexandria | GGA+U | optimized geometry
# - Excess energy over the best structure of this formula in the dataset: 0.6843 eV per atom
data_MnBeI2O
_cell_length_a 5.6780
_cell_length_b 5.6780
_cell_length_c 3.7279
_cell_angle_alpha 90.00
_cell_angle_beta 90.00
_cell_angle_gamma 90.00
_symmetry_space_group_name_H-M 'P 4/m m m'
_symmetry_Int_Tables_number 123
_symmetry_space_group_name_Hall '-P 4 2'
loop_
_atom_site_label
_atom_site_type_symbol
_atom_site_fract_x
_atom_site_fract_y
_atom_site_fract_z
_atom_site_occupancy
Mn1 Mn 0.0000 0.0000 0.0000 1
Be1 Be 0.5000 0.5000 0.5000 1
I1 I 0.0000 0.5000 0.0000 1
O1 O 0.0000 0.0000 0.5000 1

=====

No. 2
# MnBeI2O | Alexandria | GGA+U | optimized geometry
# - Excess energy over the best structure of this formula in the dataset: 0.0000 eV per atom
data_MnBeI2O
_cell_length_a 6.6596
_cell_length_b 6.6596
_cell_length_c 2.9538
_cell_angle_alpha 90.00
_cell_angle_beta 90.00
_cell_angle_gamma 90.00
_symmetry_space_group_name_H-M 'P 4/m m m'
_symmetry_Int_Tables_number 123
_symmetry_space_group_name_Hall '-P 4 2'
loop_
_atom_site_label
_atom_site_type_symbol
_atom_site_fract_x
_atom_site_fract_y
_atom_site_fract_z
_atom_site_occupancy
Mn1 Mn 0.0000 0.0000 0.0000 1
Be1 Be 0.5000 0.5000 0.5000 1
I1 I 0.0000 0.5000 0.5000 1
O1 O 0.5000 0.5000 0.0000 1

=====

Calculated DOS at the Fermi energy in order - 0.877 0.086 states/eV per atom
Calculated total magnetic moment in order - 4.2 5.1 μB/f.u.